VASP calculation (PBE-GGA) on a relaxed AlFe14Os crystal.

Properties
* total energy: -133.839 eV/cell
* ΔH_f (0 K): -0.02 eV/atom
* DOS(E_F): 16.7 states/eV/cell

a b c (Å): 5.717 5.717 5.766
angles (deg): 90.00 90.00 90.00
Last column: magnetic moment on the atom in μB.
Fractional positions:
Fe (0.125, 0.625, 0.244)  2.19
Fe (0.625, 0.625, 0.756)  2.19
Fe (0.125, 0.125, 0.244)  2.19
Fe (0.625, 0.125, 0.244)  2.19
Fe (0.875, 0.375, 0.000)  2.41
Fe (0.875, 0.375, 0.500)  2.27
Fe (0.125, 0.125, 0.756)  2.19
Fe (0.375, 0.875, 0.000)  2.41
Fe (0.875, 0.875, 0.000)  2.39
Fe (0.625, 0.125, 0.756)  2.19
Fe (0.375, 0.375, 0.000)  2.45
Fe (0.375, 0.875, 0.500)  2.27
Fe (0.625, 0.625, 0.244)  2.19
Fe (0.125, 0.625, 0.756)  2.19
Al (0.375, 0.375, 0.500)  -0.07
Os (0.875, 0.875, 0.500)  0.02

***

VASP calculation (PBE-GGA) on a relaxed Al4FeOs crystal.

Properties
* total energy: -33.490 eV/cell
* ΔH_f (0 K): 0.20 eV/atom
* DOS(E_F): 5.5 states/eV/cell

a b c (Å): 4.944 4.944 4.944
angles (deg): 60.00 60.00 60.00
Last column: magnetic moment on the atom in μB.
Fractional positions:
Al (0.375, 0.875, 0.375)  -0.02
Al (0.375, 0.375, 0.875)  -0.02
Al (0.375, 0.375, 0.375)  -0.02
Al (0.875, 0.375, 0.375)  -0.02
Os (0.000, 0.000, 0.000)  0.16
Fe (0.750, 0.750, 0.750)  2.48

***

VASP calculation (PBE-GGA) on a relaxed AlFe2Os crystal.

Properties
* total energy: -32.407 eV/cell
* ΔH_f (0 K): -0.13 eV/atom
* DOS(E_F): 3.9 states/eV/cell

a b c (Å): 2.994 4.066 4.174
angles (deg): 90.00 90.00 90.00
Last column: magnetic moment on the atom in μB.
Fractional positions:
Fe (0.000, 0.000, 0.000)  2.41
Fe (0.500, 0.500, 0.000)  1.82
Al (0.000, 0.500, 0.500)  -0.02
Os (0.500, 0.000, 0.500)  0.06

***

VASP calculation (PBE-GGA) on a relaxed AlFe2Os crystal.

Properties
* total energy: -31.523 eV/cell
* ΔH_f (0 K): 0.09 eV/atom
* DOS(E_F): 4.1 states/eV/cell

a b c (Å): 2.612 2.612 8.331
angles (deg): 90.00 90.00 112.64
Last column: magnetic moment on the atom in μB.
Fractional positions:
Fe (0.000, 0.000, 0.995)  2.29
Fe (0.000, 0.000, 0.505)  2.29
Al (0.500, 0.500, 0.750)  -0.04
Os (0.500, 0.500, 0.250)  0.23

***

The highest total energy belongs to which entry? number 4